[1]
# PBE Nd8Dy4Tm, optimized geometry
data_Nd8Dy4Tm
_chemical_formula_sum 'Nd24 Dy12 Tm3'
_cell_length_a 11.1510
_cell_length_b 11.1510
_cell_length_c 13.6173
_cell_angle_alpha 90.00
_cell_angle_beta 90.00
_cell_angle_gamma 120.00
_symmetry_space_group_name_H-M 'R -3 m'
_symmetry_Int_Tables_number 166
_symmetry_space_group_name_Hall '-R 3 2"'
loop_
_atom_site_label
_atom_site_fract_x
_atom_site_fract_y
_atom_site_fract_z
Nd1 0.0000 0.0000 0.2404
Nd2 0.0122 0.5061 0.7465
Dy1 0.0000 0.0000 0.0000
Dy2 0.0000 0.5000 0.0000
Tm1 0.0000 0.0000 0.5000
# - electronic total energy (eV per atom) = -4.23
# - calculated formation energy (meV per atom) = 463

[2]
# PBE TaTeCl, optimized geometry
data_TaTeCl
_chemical_formula_sum 'Ta2 Te2 Cl2'
_cell_length_a 3.2733
_cell_length_b 3.2733
_cell_length_c 14.3846
_cell_angle_alpha 90.00
_cell_angle_beta 90.00
_cell_angle_gamma 90.00
_symmetry_space_group_name_H-M 'I 4 m m'
_symmetry_Int_Tables_number 107
_symmetry_space_group_name_Hall 'I 4 -2'
loop_
_atom_site_label
_atom_site_fract_x
_atom_site_fract_y
_atom_site_fract_z
Ta1 0.0000 0.0000 0.0000
Te1 0.0000 0.0000 0.6156
Cl1 0.0000 0.0000 0.3905
# - electronic total energy (eV per atom) = -5.94
# - energy relative to the elements, uncorrected (meV/atom) = -326
# - energy above the lowest structure with this stoichiometry (eV/atom) = 0.407

[3]
# PBE ZrTiPd2, optimized geometry
data_ZrTiPd2
_chemical_formula_sum 'Zr1 Ti1 Pd2'
_cell_length_a 4.1694
_cell_length_b 4.1694
_cell_length_c 3.9328
_cell_angle_alpha 90.00
_cell_angle_beta 90.00
_cell_angle_gamma 90.00
_symmetry_space_group_name_H-M 'P 4/m m m'
_symmetry_Int_Tables_number 123
_symmetry_space_group_name_Hall '-P 4 2'
loop_
_atom_site_label
_atom_site_fract_x
_atom_site_fract_y
_atom_site_fract_z
Zr1 0.0000 0.0000 0.0000
Ti1 0.5000 0.5000 0.0000
Pd1 0.0000 0.5000 0.5000
# - electronic total energy (eV per atom) = -7.24
# - calculated formation energy (meV per atom) = -536
# - energy above the lowest structure with this stoichiometry (eV/atom) = 0.031

[4]
# PBE Tb6Hg3O, optimized geometry
data_Tb6Hg3O
_chemical_formula_sum 'Tb12 Hg6 O2'
_cell_length_a 6.4678
_cell_length_b 7.9797
_cell_length_c 11.7151
_cell_angle_alpha 90.00
_cell_angle_beta 120.53
_cell_angle_gamma 90.00
_symmetry_space_group_name_H-M 'P 1 21/c 1'
_symmetry_Int_Tables_number 14
loop_
_symmetry_equiv_pos_as_xyz
'x,y,z'
'-x,-y,-z'
'-x,y+1/2,-z+1/2'
'x,-y+1/2,z+1/2'
loop_
_atom_site_label
_atom_site_fract_x
_atom_site_fract_y
_atom_site_fract_z
Tb1 0.0675 0.0528 0.2256
Tb2 0.1861 0.7224 0.0649
Tb3 0.3806 0.1446 0.0519
Hg1 0.3170 0.1144 0.7327
Hg2 0.5000 0.0000 0.5000
O1 0.0000 0.0000 0.0000
# - electronic total energy (eV per atom) = -4.14
# - energy relative to the elements, uncorrected (meV/atom) = -774